## TlTeW2 (GGA-PBE)

Data for a geometry-optimized TlTeW2 structure.

a b c (Å): 3.281 4.155 7.488
angles (deg): 90.00 90.09 90.00
Element x y z (fractional)
Tl 0.000 0.000 0.000
Te 0.503 0.500 0.620
W 0.002 0.500 0.326
W 0.502 0.000 0.354

Computed properties:
ΔE to the lowest computed polymorph in meV/atom: 178
E_form (uncorrected) in eV/atom: 0.678